A geometry-optimized PuGa4Cu2Pd structure. Source: the Alexandria database, functional PBE.

Cell: 4.219 4.219 9.186 Å, 76.72 76.72 60.00°
Site moments in Bohr magnetons follow the coordinates.
Fractional positions:
Pu (0.000, 0.000, 0.000)  5.25
Ga (0.399, 0.399, 0.802)  0.00
Ga (0.874, 0.874, 0.379)  -0.01
Ga (0.126, 0.126, 0.621)  -0.01
Ga (0.601, 0.601, 0.198)  0.00
Cu (0.759, 0.759, 0.722)  0.00
Cu (0.241, 0.241, 0.278)  0.00
Pd (0.500, 0.500, 0.500)  0.01

## Properties
SG ... R-3m, No. 166
ΔH_f (0 K) ... -0.27 eV per atom
Crystal system ... trigonal